No. 1
This record from OQMD describes crystalline BeNbCo at its relaxed geometry. The functional is PBE-GGA.

Summary:
Theoretical density ... 5.98 g/cm³
Raw total energy ... -74.95 eV for the cell shown
Spin magnetization ... 0.0 μB/f.u.
Polymorph energy (0 for the lowest one) ... 0.530 eV/atom

```
data_BeNbCo
_chemical_formula_sum 'Be4 Nb4 Co4'
_cell_length_a 5.6323
_cell_length_b 5.6323
_cell_length_c 5.6323
_cell_angle_alpha 90.00
_cell_angle_beta 90.00
_cell_angle_gamma 90.00
_symmetry_space_group_name_H-M 'F -4 3 m'
_symmetry_Int_Tables_number 216
_symmetry_space_group_name_Hall 'F -4 2 3'
loop_
_atom_site_label
_atom_site_type_symbol
_atom_site_fract_x
_atom_site_fract_y
_atom_site_fract_z
_atom_site_occupancy
Be1 Be 0.0000 0.0000 0.0000 1
Nb1 Nb 0.2500 0.2500 0.7500 1
Co1 Co 0.0000 0.0000 0.5000 1
```

No. 2
This record from OQMD describes crystalline ThBeCu at its relaxed geometry. The functional is PBE-GGA.

Summary:
Theoretical density ... 8.46 g/cm³
Raw total energy ... -56.38 eV for the cell shown
Spin magnetization ... 0.0 μB/f.u.
Polymorph energy (0 for the lowest one) ... 0.029 eV/atom

```
data_ThBeCu
_chemical_formula_sum 'Th4 Be4 Cu4'
_cell_length_a 6.2082
_cell_length_b 6.2082
_cell_length_c 6.2082
_cell_angle_alpha 90.00
_cell_angle_beta 90.00
_cell_angle_gamma 90.00
_symmetry_space_group_name_H-M 'F -4 3 m'
_symmetry_Int_Tables_number 216
_symmetry_space_group_name_Hall 'F -4 2 3'
loop_
_atom_site_label
_atom_site_type_symbol
_atom_site_fract_x
_atom_site_fract_y
_atom_site_fract_z
_atom_site_occupancy
Th1 Th 0.0000 0.0000 0.0000 1
Be1 Be 0.2500 0.2500 0.7500 1
Cu1 Cu 0.0000 0.0000 0.5000 1
```

No. 3
This record from OQMD describes crystalline NaGdPdSe3 at its relaxed geometry. The functional is PBE-GGA.

Summary:
Theoretical density ... 5.83 g/cm³
Raw total energy ... -112.64 eV for the cell shown
Spin magnetization ... 0.0 μB/f.u.

```
data_NaGdPdSe3
_chemical_formula_sum 'Na4 Gd4 Pd4 Se12'
_cell_length_a 4.0317
_cell_length_b 14.5111
_cell_length_c 10.1887
_cell_angle_alpha 90.00
_cell_angle_beta 90.00
_cell_angle_gamma 90.00
_symmetry_space_group_name_H-M 'C m c m'
_symmetry_Int_Tables_number 63
_symmetry_space_group_name_Hall '-C 2c 2'
loop_
_atom_site_label
_atom_site_type_symbol
_atom_site_fract_x
_atom_site_fract_y
_atom_site_fract_z
_atom_site_occupancy
Na1 Na 0.0000 0.2361 0.2500 1
Gd1 Gd 0.0000 0.0000 0.0000 1
Pd1 Pd 0.0000 0.4916 0.7500 1
Se1 Se 0.0000 0.1007 0.7500 1
Se2 Se 0.0000 0.3672 0.5794 1
```